Record 1
Ta2AsAu (GGA-PBE, relaxed); E_form = 9.52 kJ per mole of atoms; crystal system = trigonal; density of states at the Fermi level = 3.7 states/eV/cell
1.0
9.328 0.006 0.003
8.852 2.943 0.003
8.852 1.436 2.569
Ta Au As
2 1 1
direct
0.997 0.997 0.997
0.503 0.503 0.503
0.750 0.750 0.750
0.250 0.250 0.250

Record 2
CaPmNdSn (GGA-PBE, relaxed); E_form = -28.06 kJ per mole of atoms; crystal system = cubic; density of states at the Fermi level = 5.2 states/eV/cell
1.0
5.560 0.000 0.000
2.780 4.815 0.000
2.780 1.605 4.539
Pm Sn Ca Nd
1 1 1 1
direct
0.500 0.500 0.500
0.250 0.250 0.250
0.750 0.750 0.750
0.000 0.000 0.000

Record 3
Ho6CuHg2 (GGA-PBE, relaxed); E_form = -5.32 kJ per mole of atoms; crystal system = orthorhombic; density of states at the Fermi level = 11.2 states/eV/cell
1.0
-4.381 2.268 0.755
-2.160 -2.022 -6.463
0.513 -6.399 5.739
Ho Hg Cu
6 2 1
direct
0.500 0.763 0.000
0.161 0.405 0.322
0.500 0.237 0.000
0.839 0.595 0.678
0.161 0.918 0.322
0.839 0.082 0.678
0.666 0.667 0.333
0.334 0.333 0.667
0.000 0.000 0.000

Record 4
Ba4Ge2Br5 (GGA-PBE, relaxed); crystal system = monoclinic; density of states at the Fermi level = 2.5 states/eV/cell; formation energy (no corrections) = -1.568 eV/atom
1.0
4.908 0.000 0.000
0.000 8.014 -1.879
-2.454 -4.702 12.329
Br Ba Ge
5 4 2
direct
0.827 0.659 0.654
0.173 0.341 0.346
0.813 0.097 0.627
0.187 0.903 0.373
0.500 0.000 0.000
0.689 0.635 0.377
0.949 0.172 0.898
0.311 0.365 0.623
0.051 0.828 0.102
0.545 0.510 0.091
0.455 0.490 0.909